Computed, not measured: an optimized crystal structure of DyHoTmIn at the PBE level of DFT.

Cell: 4.810 4.817 4.818 Å, 90.00 90.00 90.00°
Fractional coordinates of all 4 atoms:
Dy (0.000, 0.000, 0.000)
Ho (0.000, 0.500, 0.500)
Tm (0.500, 0.500, 0.000)
In (0.500, 0.000, 0.500)

Summary:
The value obtained for the energy relative to the lowest polymorph listed for this composition is 0.0 kJ per mole of atoms. As for the formation energy from the elements: -0.26 eV/atom. Its total magnetic moment is 0.0 Bohr magnetons per cell. As for the energy: -0.3205 Ry per atom. The theoretical density is 9.092 g cm⁻³.